Below is LaCeIr4 after structural relaxation, with properties calculated at the PBE level.

Lattice parameters (Å, degrees): 5.4348 5.4348 5.4348 60.00 60.00 60.00
With the nearest neighbours (Å) after each atom.
Element x y z (fractional)
La  0.0000  0.0000  0.0000  12 Ir 3.19, 4 Ce 3.33
Ce  0.2500  0.2500  0.2500  12 Ir 3.19, 4 La 3.33
Ir  0.1252  0.6249  0.6249  6 Ir 2.72
Ir  0.6249  0.1252  0.6249  6 Ir 2.72
Ir  0.6249  0.6249  0.1252  6 Ir 2.72
Ir  0.6249  0.6249  0.6249  6 Ir 2.72

Computed properties:
Its volume is 114 Å³ per cell. The calculation puts the energy relative to the elements at -0.7404 eV/atom. Its space-group type is F-43m, No. 216.